*one*
TcIr2Rh8: relaxed, GGA-PBE.

D(E_F)   15.01 states/eV/cell
V   15.2 Å³/atom

Cell lengths 4.098, 6.497, 6.497 Å; angles 104.29, 90.00, 90.00 degrees
Sites, in units of the cell vectors:
Rh 0.500 0.246 0.754
Rh 0.500 0.754 0.246
Rh 0.000 0.296 0.036
Rh 0.000 0.036 0.296
Ir 0.000 0.379 0.621
Rh 0.500 0.332 0.332
Rh 0.500 0.668 0.668
Rh 0.000 0.964 0.704
Tc 0.500 0.000 0.000
Ir 0.000 0.621 0.379
Rh 0.000 0.704 0.964

=====

*two*
TcIr2Rh8: relaxed, GGA-PBE.

D(E_F)   18.27 states/eV/cell
V   16.7 Å³/atom

Cell lengths 4.543, 6.488, 6.488 Å; angles 83.19, 79.52, 79.52 degrees
Sites, in units of the cell vectors:
Rh 0.705 0.580 0.580
Ir 0.443 0.147 0.147
Rh 0.875 0.269 0.269
Ir 0.557 0.853 0.853
Rh 0.125 0.731 0.731
Rh 0.786 0.671 0.176
Rh 0.295 0.420 0.420
Rh 0.214 0.824 0.329
Tc 0.000 0.000 0.000
Rh 0.214 0.329 0.824
Rh 0.786 0.176 0.671

=====

Which of them is the least stable? Correct choice: *two*.